A relaxed YPt2I crystal. Source: Alexandria via LeMat-Bulk, functional PBE-GGA. Values from VASP.

Structure (Quantum ESPRESSO input):
```
&SYSTEM
  ibrav = 0, nat = 4, ntyp = 3
/
ATOMIC_SPECIES
Pt 195.08 Pt.upf
Y 88.91 Y.upf
I 126.90 I.upf
ATOMIC_POSITIONS crystal
Pt 0.2500 0.2500 0.2500
Y 0.0000 0.0000 0.0000
Pt 0.7500 0.7500 0.7500
I 0.5000 0.5000 0.5000
CELL_PARAMETERS angstrom
0.0000 3.5074 3.5074
3.5074 0.0000 3.5074
3.5074 3.5074 0.0000
```

- energy above the lowest structure with this stoichiometry (meV per atom) = 0

***

A relaxed Y2PtI crystal. Source: Alexandria via LeMat-Bulk, functional PBE-GGA. Values from VASP.

Structure (Quantum ESPRESSO input):
```
&SYSTEM
  ibrav = 0, nat = 4, ntyp = 3
/
ATOMIC_SPECIES
Y 88.91 Y.upf
I 126.90 I.upf
Pt 195.08 Pt.upf
ATOMIC_POSITIONS crystal
Y 0.2712 0.2712 0.1864
Y 0.7288 0.7288 0.8136
I 0.5000 0.5000 0.5000
Pt 0.0000 0.0000 0.0000
CELL_PARAMETERS angstrom
4.1518 0.0000 0.0000
2.0759 3.5955 0.0000
2.0759 1.1985 7.8851
```

- energy above the lowest structure with this stoichiometry (meV per atom) = 0

***

A relaxed Y2PtI2 crystal. Source: Alexandria via LeMat-Bulk, functional PBE-GGA. Values from VASP.

Structure (Quantum ESPRESSO input):
```
&SYSTEM
  ibrav = 0, nat = 5, ntyp = 3
/
ATOMIC_SPECIES
Y 88.91 Y.upf
Pt 195.08 Pt.upf
I 126.90 I.upf
ATOMIC_POSITIONS crystal
Y 0.3788 0.3788 0.8635
Pt 0.0000 0.0000 0.0000
I 0.7739 0.7739 0.6782
Y 0.6212 0.6212 0.1365
I 0.2261 0.2261 0.3218
CELL_PARAMETERS angstrom
4.0666 0.0000 0.7521
1.9638 3.5611 0.7521
-0.0685 -0.0405 11.7407
```

- final energy (eV per atom) = -5.68

***

A relaxed YPtI3 crystal. Source: Alexandria via LeMat-Bulk, functional PBE-GGA. Values from VASP.

Structure (Quantum ESPRESSO input):
```
&SYSTEM
  ibrav = 0, nat = 5, ntyp = 3
/
ATOMIC_SPECIES
Y 88.91 Y.upf
I 126.90 I.upf
Pt 195.08 Pt.upf
ATOMIC_POSITIONS crystal
Y 0.5000 0.5000 0.5000
I 0.0000 0.0000 0.5000
I 0.0000 0.5000 0.0000
Pt 0.0000 0.0000 0.0000
I 0.5000 0.0000 0.0000
CELL_PARAMETERS angstrom
5.4645 0.0000 0.0000
0.0000 5.4645 0.0000
0.0000 0.0000 5.4645
```

- energy above the lowest structure with this stoichiometry (meV per atom) = 0

***

A relaxed Y2PtI crystal. Source: Alexandria via LeMat-Bulk, functional PBE-GGA. Values from VASP.

Structure (Quantum ESPRESSO input):
```
&SYSTEM
  ibrav = 0, nat = 8, ntyp = 3
/
ATOMIC_SPECIES
Y 88.91 Y.upf
Pt 195.08 Pt.upf
I 126.90 I.upf
ATOMIC_POSITIONS crystal
Y 0.8750 0.9162 0.7500
Y 0.6662 0.1250 0.2500
Y 0.0838 0.6250 0.2500
Pt 0.0000 0.0000 0.0000
Pt 0.7500 0.2500 0.5000
Y 0.3750 0.3338 0.7500
I 0.2500 0.7500 0.5000
I 0.5000 0.5000 0.0000
CELL_PARAMETERS angstrom
-2.9500 -5.0570 5.2298
-3.1240 -4.2160 -5.8388
0.1939 -6.7390 -0.5151
```

- energy above the lowest structure with this stoichiometry (meV per atom) = 431

***

A relaxed YPtI3 crystal. Source: Alexandria via LeMat-Bulk, functional PBE-GGA. Values from VASP.

Structure (Quantum ESPRESSO input):
```
&SYSTEM
  ibrav = 0, nat = 5, ntyp = 3
/
ATOMIC_SPECIES
Pt 195.08 Pt.upf
I 126.90 I.upf
Y 88.91 Y.upf
ATOMIC_POSITIONS crystal
Pt 0.5000 0.5000 0.5000
I 0.5000 0.0000 0.0000
I 0.0000 0.0000 0.5000
Y 0.0000 0.0000 0.0000
I 0.0000 0.5000 0.0000
CELL_PARAMETERS angstrom
-4.4732 -0.9408 3.8693
-1.0519 -5.3334 -2.5129
3.8406 -2.5565 3.8184
```

- energy above the lowest structure with this stoichiometry (meV per atom) = 93

***

A relaxed YPt2I2 crystal. Source: Alexandria via LeMat-Bulk, functional PBE-GGA. Values from VASP.

Structure (Quantum ESPRESSO input):
```
&SYSTEM
  ibrav = 0, nat = 5, ntyp = 3
/
ATOMIC_SPECIES
Pt 195.08 Pt.upf
Y 88.91 Y.upf
I 126.90 I.upf
ATOMIC_POSITIONS crystal
Pt 0.3943 0.3943 0.2113
Y 0.0000 0.0000 0.0000
Pt 0.6057 0.6057 0.7887
I 0.7500 0.2500 0.5000
I 0.2500 0.7500 0.5000
CELL_PARAMETERS angstrom
4.5919 0.0000 0.0000
0.0000 4.5919 0.0000
2.2959 2.2959 6.0727
```

- energy above the lowest structure with this stoichiometry (meV per atom) = 358

***

A relaxed Y2PtI crystal. Source: Alexandria via LeMat-Bulk, functional PBE-GGA. Values from VASP.

Structure (Quantum ESPRESSO input):
```
&SYSTEM
  ibrav = 0, nat = 4, ntyp = 3
/
ATOMIC_SPECIES
Pt 195.08 Pt.upf
I 126.90 I.upf
Y 88.91 Y.upf
ATOMIC_POSITIONS crystal
Pt 0.5421 0.5421 0.2579
I 0.8738 0.8738 0.7115
Y 0.2080 0.2080 0.4371
Y 0.8761 0.8761 0.0935
CELL_PARAMETERS angstrom
4.2016 0.0340 0.2065
2.0659 3.6588 0.2065
-0.3824 -0.2253 8.3197
```

- energy above the lowest structure with this stoichiometry (meV per atom) = 14

***

A relaxed YPt3I crystal. Source: Alexandria via LeMat-Bulk, functional PBE-GGA. Values from VASP.

Structure (Quantum ESPRESSO input):
```
&SYSTEM
  ibrav = 0, nat = 5, ntyp = 3
/
ATOMIC_SPECIES
Pt 195.08 Pt.upf
Y 88.91 Y.upf
I 126.90 I.upf
ATOMIC_POSITIONS crystal
Pt 0.5000 0.0000 0.0000
Y 0.5000 0.5000 0.5000
I 0.0000 0.0000 0.0000
Pt 0.0000 0.5000 0.0000
Pt 0.0000 0.0000 0.5000
CELL_PARAMETERS angstrom
4.9935 0.0000 0.0000
0.0000 4.9935 0.0000
0.0000 0.0000 4.9935
```

- energy above the lowest structure with this stoichiometry (meV per atom) = 0

***

A relaxed Y2PtI crystal. Source: Alexandria via LeMat-Bulk, functional PBE-GGA. Values from VASP.

Structure (Quantum ESPRESSO input):
```
&SYSTEM
  ibrav = 0, nat = 4, ntyp = 3
/
ATOMIC_SPECIES
I 126.90 I.upf
Y 88.91 Y.upf
Pt 195.08 Pt.upf
ATOMIC_POSITIONS crystal
I 0.0000 0.0000 0.0000
Y 0.7500 0.7500 0.7500
Y 0.2500 0.2500 0.2500
Pt 0.5000 0.5000 0.5000
CELL_PARAMETERS angstrom
0.0000 3.6798 3.6798
3.6798 0.0000 3.6798
3.6798 3.6798 0.0000
```

- energy above the lowest structure with this stoichiometry (meV per atom) = 478

***

A relaxed Y2Pt2I crystal. Source: Alexandria via LeMat-Bulk, functional PBE-GGA. Values from VASP.

Structure (Quantum ESPRESSO input):
```
&SYSTEM
  ibrav = 0, nat = 10, ntyp = 3
/
ATOMIC_SPECIES
Y 88.91 Y.upf
I 126.90 I.upf
Pt 195.08 Pt.upf
ATOMIC_POSITIONS crystal
Y 0.8403 0.6597 0.0000
Y 0.3403 0.8403 0.0000
I 0.5000 0.5000 0.0000
I 0.0000 0.0000 0.0000
Y 0.1597 0.3403 0.0000
Pt 0.8745 0.3745 0.5000
Pt 0.1255 0.6255 0.5000
Pt 0.6255 0.8745 0.5000
Y 0.6597 0.1597 0.0000
Pt 0.3745 0.1255 0.5000
CELL_PARAMETERS angstrom
8.1834 0.0000 0.0000
0.0000 8.1834 0.0000
0.0000 0.0000 3.6732
```

- energy above the lowest structure with this stoichiometry (meV per atom) = 37

***

A relaxed YPt2I2 crystal. Source: Alexandria via LeMat-Bulk, functional PBE-GGA. Values from VASP.

Structure (Quantum ESPRESSO input):
```
&SYSTEM
  ibrav = 0, nat = 10, ntyp = 3
/
ATOMIC_SPECIES
I 126.90 I.upf
Pt 195.08 Pt.upf
Y 88.91 Y.upf
ATOMIC_POSITIONS crystal
I 0.2922 0.2078 0.5000
I 0.2078 0.7078 0.5000
I 0.7922 0.2922 0.5000
Pt 0.1258 0.3742 0.0000
Pt 0.3742 0.8742 0.0000
Y 0.0000 0.0000 0.0000
Pt 0.8742 0.6258 0.0000
Y 0.5000 0.5000 0.0000
Pt 0.6258 0.1258 0.0000
I 0.7078 0.7922 0.5000
CELL_PARAMETERS angstrom
7.4095 0.0000 0.0000
0.0000 7.4095 0.0000
0.0000 0.0000 4.4737
```

- energy above the lowest structure with this stoichiometry (meV per atom) = 0

***

no.,density of states at the Fermi level (states/eV per cell)
1,1.43
2,3.22
3,2.30
4,5.28
5,2.93
6,17.54
7,3.54
8,3.02
9,3.88
10,5.78
11,9.62
12,4.76